Entry 1:
## BaHf3Zn (PBE)

Data for a relaxed structure of BaHf3Zn.

abc: 5.160 5.160 5.160
angles: 90.00 90.00 90.00
Space group Pm-3m (No. 221)
Inequivalent atoms, fractional coordinates:
Ba  0.000  0.000  0.000 [1 per cell]
Hf  0.000  0.500  0.500 [3 per cell]
Zn  0.500  0.500  0.500 [1 per cell]

Results
- ΔH_f (0 K) (eV per atom) = 0.791
- energy relative to the lowest polymorph listed for this composition (meV/atom) = 0

Entry 2:
## BaHfZn (PBE)

Data for a relaxed structure of BaHfZn.

abc: 3.578 26.560 3.613
angles: 90.00 90.00 90.00
Space group Cmcm (No. 63)
Inequivalent atoms, fractional coordinates:
Ba  0.000  0.075  0.250 [4 per cell]
Hf  0.000  0.216  0.250 [4 per cell]
Zn  0.000  0.335  0.250 [4 per cell]

Results
- ΔH_f (0 K) (eV per atom) = 0.009
- energy relative to the lowest polymorph listed for this composition (meV/atom) = 5

Entry 3:
## BaHfZn2 (PBE)

Data for a relaxed structure of BaHfZn2.

abc: 7.348 7.348 7.348
angles: 90.00 90.00 90.00
Space group Fm-3m (No. 225)
Inequivalent atoms, fractional coordinates:
Ba  0.000  0.000  0.000 [4 per cell]
Hf  0.000  0.000  0.500 [4 per cell]
Zn  0.250  0.250  0.250 [8 per cell]

Results
- ΔH_f (0 K) (eV per atom) = 0.305
- energy relative to the lowest polymorph listed for this composition (meV/atom) = 339

Entry 4:
## BaHfZn2 (PBE)

Data for a relaxed structure of BaHfZn2.

abc: 3.514 3.514 7.801
angles: 90.00 90.00 90.00
Space group P4/mmm (No. 123)
Inequivalent atoms, fractional coordinates:
Ba  0.000  0.000  0.000 [1 per cell]
Hf  0.000  0.000  0.500 [1 per cell]
Zn  0.500  0.500  0.317 [2 per cell]

Results
- ΔH_f (0 K) (eV per atom) = -0.034
- energy relative to the lowest polymorph listed for this composition (meV/atom) = 0